No. 1
VASP calculation (GGA-PBE) on a geometry-optimized Mn2NbPd5 structure.

The structure in extended XYZ format:
```
16
Lattice="-3.222 -0.248 2.252 3.098 -1.958 4.216 1.708 10.443 3.595" Properties=species:S:1:pos:R:3 pbc="T T T"
Pd 2.014 1.551 3.052
Nb 0.854 5.221 1.797
Nb 1.549 -0.979 2.108
Pd 4.324 5.852 6.832
Pd 0.184 5.879 4.356
Mn 0.584 8.492 5.217
Pd 2.179 7.626 7.403
Pd -0.595 0.610 2.661
Pd 2.792 6.933 4.759
Pd 2.403 4.242 3.906
Pd 0.482 2.633 0.979
Mn -0.146 3.192 3.588
Pd 0.000 0.000 0.000
Pd 1.400 2.357 5.707
Mn 1.729 5.044 6.475
Mn 0.999 -0.256 4.847
```

Results
The calculated total energy is -0.259 Ha/atom. As for the density of states at the Fermi level: 9.9 states/eV per cell. As for the formation energy: -0.255 eV/atom.

=====

No. 2
VASP calculation (GGA-PBE) on a geometry-optimized MnAl2Se structure.

The structure in extended XYZ format:
```
4
Lattice="-0.465 -3.187 -0.630 2.604 -0.746 1.853 -3.404 -0.415 4.616" Properties=species:S:1:pos:R:3 pbc="T T T"
Al -0.084 -0.010 0.114
Mn 0.218 -2.071 1.766
Se -1.483 -2.278 4.074
Al -1.618 -0.197 2.194
```

Results
The calculated total energy is -0.187 Ha/atom. Its raw formation energy is -0.0473 eV per atom. As for the density of states at the Fermi level: 1.9 states/eV per cell.

=====

No. 3
VASP calculation (GGA-PBE) on a geometry-optimized ScAlZn11 structure.

The structure in extended XYZ format:
```
13
Lattice="-2.247 -2.743 -3.832 0.996 -6.648 0.602 -6.318 -1.843 1.467" Properties=species:S:1:pos:R:3 pbc="T T T"
Zn -4.232 -6.475 -0.006
Zn -5.866 -4.224 -0.628
Zn -5.787 -8.651 -1.124
Sc 0.000 0.000 0.000
Zn -3.337 -4.759 -1.757
Zn -1.783 -2.584 -0.640
Zn -1.703 -7.010 -1.135
Zn -4.283 -2.293 -1.183
Zn -3.743 -3.527 1.155
Zn -3.159 -0.922 0.733
Zn 0.498 -3.324 0.301
Al -0.626 -4.696 -1.615
Zn -3.826 -7.708 -2.919
```

Results
The calculated total energy is -0.072 Ha/atom. As for the density of states at the Fermi level: 2.7 states/eV per cell. As for the formation energy: -0.118 eV/atom.

=====

No. 4
VASP calculation (GGA-PBE) on a geometry-optimized LaPuTcC3 structure.

The structure in extended XYZ format:
```
12
Lattice="3.673 0.000 0.000 0.000 7.444 0.892 0.000 -1.936 7.622" Properties=species:S:1:pos:R:3 pbc="T T T"
C 2.755 6.176 2.007
Tc 0.918 -0.408 4.633
Pu 0.918 4.363 1.836
C 2.755 0.215 4.065
La 0.918 0.945 1.529
C 0.918 5.293 4.449
C 2.755 2.886 1.291
Pu 2.755 1.145 6.678
La 2.755 4.563 6.985
C 0.918 -0.668 6.507
C 0.918 2.622 7.223
Tc 2.755 5.916 3.881
```

Results
The calculated total energy is -0.344 Ha/atom. As for the density of states at the Fermi level: 20.9 states/eV per cell. As for the formation energy: 0.177 eV/atom.

=====

No. 5
VASP calculation (GGA-PBE) on a geometry-optimized Nb3Ge2H structure.

The structure in extended XYZ format:
```
12
Lattice="-4.351 -2.409 1.532 2.614 -5.093 -0.586 3.483 2.598 5.137" Properties=species:S:1:pos:R:3 pbc="T T T"
Nb 0.623 -0.096 1.235
Nb -1.561 -2.499 0.633
Nb 1.741 -2.747 1.008
Nb 1.123 -4.808 4.848
Ge -0.279 -3.699 2.734
Ge 2.025 -1.205 3.349
Ge -1.337 -1.015 2.939
H -1.849 -5.929 0.901
H 0.112 -1.573 0.044
Nb 0.004 -2.157 5.075
Nb -0.176 -5.003 0.312
Ge 3.083 -3.889 3.144
```

Results
The calculated total energy is -0.268 Ha/atom. As for the density of states at the Fermi level: 6.2 states/eV per cell.

=====

No. 6
VASP calculation (GGA-PBE) on a geometry-optimized InTcHg structure.

The structure in extended XYZ format:
```
3
Lattice="-5.364 0.765 4.103 -6.771 -0.536 0.237 6.253 -2.171 -1.545" Properties=species:S:1:pos:R:3 pbc="T T T"
Hg -0.166 0.003 0.059
Tc -8.126 0.153 2.906
In -3.844 0.072 1.374
```

Results
The calculated total energy is -0.145 Ha/atom. The energy above the lowest structure with this stoichiometry comes out at 0.011 eV/atom. As for the density of states at the Fermi level: 1.8 states/eV per cell. As for the formation energy: 0.525 eV/atom.